(1)
## ZnW2Au (PBE)

Data for crystalline ZnW2Au at its relaxed geometry.

- space group = P4/mmm
- E (eV/atom) = -6.9594

abc: 4.820 4.820 2.779
angles: 90.00 90.00 90.00
Fractional coordinates of all 4 atoms:
Zn 0.000 0.000 0.000
W 0.000 0.500 0.500
W 0.500 0.000 0.500
Au 0.500 0.500 0.000

=====

(2)
## ZnW2Au (PBE)

Data for crystalline ZnW2Au at its relaxed geometry.

- space group = I-42d
- E (eV/atom) = -6.9080

abc: 10.275 10.275 10.275
angles: 159.02 159.02 29.84
Fractional coordinates of all 8 atoms:
Zn 0.000 0.000 0.000
Zn 0.750 0.250 0.500
W 0.116 0.625 0.991
W 0.375 0.366 0.491
W 0.634 0.125 0.009
W 0.875 0.884 0.509
Au 0.250 0.750 0.500
Au 0.500 0.500 0.000

=====

(3)
## Zn2WAu (PBE)

Data for crystalline Zn2WAu at its relaxed geometry.

- space group = Pmmm
- energy above the most stable polymorph in this dataset (meV per atom) = 256
- E (eV/atom) = -4.3607

abc: 2.892 4.556 4.868
angles: 90.00 90.00 90.00
Fractional coordinates of all 4 atoms:
Zn 0.000 0.000 0.000
Zn 0.500 0.000 0.500
W 0.000 0.500 0.500
Au 0.500 0.500 0.000

=====

(4)
## ZnW2Au (PBE)

Data for crystalline ZnW2Au at its relaxed geometry.

- space group = R-3m
- E (eV/atom) = -7.1902

abc: 9.488 9.488 9.488
angles: 17.12 17.12 17.12
Fractional coordinates of all 4 atoms:
Zn 0.000 0.000 0.000
W 0.252 0.252 0.252
W 0.748 0.748 0.748
Au 0.500 0.500 0.500

=====

(5)
## Zn2WAu (PBE)

Data for crystalline Zn2WAu at its relaxed geometry.

- space group = Cmm2
- energy above the most stable polymorph in this dataset (meV per atom) = 94
- E (eV/atom) = -4.5226

abc: 2.766 2.766 8.213
angles: 90.00 90.00 90.95
Fractional coordinates of all 4 atoms:
Zn 0.000 0.000 0.000
Zn 0.500 0.500 0.239
W 0.000 0.000 0.484
Au 0.500 0.500 0.748

=====

(6)
## ZnW2Au (PBE)

Data for crystalline ZnW2Au at its relaxed geometry.

- space group = C2/m
- E (eV/atom) = -7.2523

abc: 5.121 5.121 2.741
angles: 91.71 91.71 116.79
Fractional coordinates of all 4 atoms:
Zn 0.000 0.000 0.000
W 0.000 0.500 0.500
W 0.500 0.000 0.500
Au 0.500 0.500 0.000

=====

(7)
## Zn2WAu (PBE)

Data for crystalline Zn2WAu at its relaxed geometry.

- space group = I-42d
- energy above the most stable polymorph in this dataset (meV per atom) = 577
- E (eV/atom) = -4.0402

abc: 5.686 5.686 5.686
angles: 103.53 103.53 122.15
Fractional coordinates of all 8 atoms:
Zn 0.118 0.125 0.493
Zn 0.375 0.882 0.007
Zn 0.632 0.625 0.507
Zn 0.875 0.368 0.993
W 0.250 0.750 0.500
W 0.500 0.500 0.000
Au 0.000 0.000 0.000
Au 0.750 0.250 0.500

=====

(8)
## Zn2WAu2 (PBE)

Data for crystalline Zn2WAu2 at its relaxed geometry.

- space group = P4/mbm
- energy above the most stable polymorph in this dataset (meV per atom) = 0
- E (eV/atom) = -4.1274

abc: 7.450 7.450 2.890
angles: 90.00 90.00 90.00
Fractional coordinates of all 10 atoms:
Zn 0.128 0.372 0.000
Zn 0.372 0.872 0.000
Zn 0.628 0.128 0.000
Zn 0.872 0.628 0.000
W 0.000 0.000 0.000
W 0.500 0.500 0.000
Au 0.172 0.672 0.500
Au 0.328 0.172 0.500
Au 0.672 0.828 0.500
Au 0.828 0.328 0.500

=====

(9)
## Zn4WAu (PBE)

Data for crystalline Zn4WAu at its relaxed geometry.

- space group = F-43m
- E (eV/atom) = -3.1994

abc: 5.025 5.025 5.025
angles: 60.00 60.00 60.00
Fractional coordinates of all 6 atoms:
Zn 0.376 0.376 0.376
Zn 0.376 0.376 0.872
Zn 0.376 0.872 0.376
Zn 0.872 0.376 0.376
W 0.750 0.750 0.750
Au 0.000 0.000 0.000

=====

(10)
## Zn2WAu (PBE)

Data for crystalline Zn2WAu at its relaxed geometry.

- space group = Pmm2
- energy above the most stable polymorph in this dataset (meV per atom) = 197
- E (eV/atom) = -4.4197

abc: 2.787 3.931 5.739
angles: 90.00 90.00 90.00
Fractional coordinates of all 4 atoms:
Zn 0.000 0.000 0.000
Zn 0.500 0.500 0.246
W 0.500 0.500 0.768
Au 0.000 0.000 0.494

=====

(11)
## Zn2WAu (PBE)

Data for crystalline Zn2WAu at its relaxed geometry.

- space group = Pm
- energy above the most stable polymorph in this dataset (meV per atom) = 164
- E (eV/atom) = -4.4528

abc: 2.731 4.291 5.487
angles: 90.00 104.26 90.00
Fractional coordinates of all 4 atoms:
Zn 0.000 0.000 0.000
Zn 0.136 0.500 0.270
W 0.400 0.500 0.798
Au 0.752 0.000 0.497

=====

(12)
## ZnW2Au (PBE)

Data for crystalline ZnW2Au at its relaxed geometry.

- space group = R3m
- E (eV/atom) = -7.3388

abc: 9.592 9.592 9.592
angles: 16.90 16.90 16.90
Fractional coordinates of all 4 atoms:
Zn 0.000 0.000 0.000
W 0.252 0.252 0.252
W 0.500 0.500 0.500
Au 0.747 0.747 0.747

=====

(13)
## Zn2WAu (PBE)

Data for crystalline Zn2WAu at its relaxed geometry.

- space group = I-4m2
- energy above the most stable polymorph in this dataset (meV per atom) = 320
- E (eV/atom) = -4.2966

abc: 5.003 5.003 5.003
angles: 134.40 134.40 66.46
Fractional coordinates of all 4 atoms:
Zn 0.000 0.000 0.000
Zn 0.750 0.250 0.500
W 0.500 0.500 0.000
Au 0.250 0.750 0.500

=====

(14)
## Zn2WAu (PBE)

Data for crystalline Zn2WAu at its relaxed geometry.

- space group = P2/m
- energy above the most stable polymorph in this dataset (meV per atom) = 145
- E (eV/atom) = -4.4720

abc: 2.725 4.341 5.401
angles: 90.00 90.52 90.00
Fractional coordinates of all 4 atoms:
Zn 0.013 0.000 0.225
Zn 0.987 0.000 0.775
W 0.500 0.500 0.000
Au 0.000 0.500 0.500

=====

(15)
## ZrW2Au2 (PBE)

Data for crystalline ZrW2Au2 at its relaxed geometry.

- space group = I4/mmm
- E (eV/atom) = -7.7233

abc: 6.780 6.780 6.780
angles: 145.51 145.51 49.58
Fractional coordinates of all 5 atoms:
Zr 0.000 0.000 0.000
W 0.404 0.404 0.000
W 0.596 0.596 0.000
Au 0.250 0.750 0.500
Au 0.750 0.250 0.500

=====

Which N(E_F) belongs to each record? In order, 4.0 6.3 2.5 2.1 2.4 2.4 8.0 10.0 3.2 2.2 3.1 2.6 3.1 2.2 4.0 states/eV/cell.
Which V belongs to each record? In order, 64.6 138.9 64.1 64.6 62.8 64.1 136.3 160.4 89.7 62.9 62.3 65.0 62.9 63.9 99.5 Å³/cell.
Which calculated formation energy belongs to each record? In order, 0.66 0.71 0.33 0.42 0.17 0.36 0.65 0.28 0.36 0.27 0.24 0.28 0.40 0.22 0.48 eV/atom.